Entry 1:
The following is a DFT calculation (PBE) of CdCo2Os after structural relaxation.

DFT formation energy in eV per atom: 0.358
Magnetic moment in μB per formula unit: 3.2

The structure in CIF format:
```
data_CdCo2Os
_cell_length_a 8.9832
_cell_length_b 8.9832
_cell_length_c 8.9832
_cell_angle_alpha 17.40
_cell_angle_beta 17.40
_cell_angle_gamma 17.40
_space_group_name_H-M_alt 'P 1'
_space_group_IT_number 1
loop_
_space_group_symop_operation_xyz
'x,y,z'
loop_
_atom_site_label
_atom_site_fract_x
_atom_site_fract_y
_atom_site_fract_z
Cd1 0.0000 0.0000 0.0000
Co1 0.2438 0.2438 0.2438
Co2 0.5060 0.5060 0.5060
Os1 0.7636 0.7636 0.7636
```



Entry 2:
The following is a DFT calculation (PBE) of CdCoOs after structural relaxation.

Energy relative to the lowest polymorph listed for this composition in eV per atom: 0.052
DFT formation energy in eV per atom: 0.373
Magnetic moment in μB per formula unit: 1.0

The structure in CIF format:
```
data_CdCoOs
_cell_length_a 2.7621
_cell_length_b 2.7621
_cell_length_c 6.7778
_cell_angle_alpha 90.00
_cell_angle_beta 90.00
_cell_angle_gamma 120.00
_space_group_name_H-M_alt 'P 1'
_space_group_IT_number 1
loop_
_space_group_symop_operation_xyz
'x,y,z'
loop_
_atom_site_label
_atom_site_fract_x
_atom_site_fract_y
_atom_site_fract_z
Cd1 0.0000 0.0000 0.0000
Co1 0.3333 0.6667 0.3421
Os1 0.6667 0.3333 0.6245
```



Entry 3:
The following is a DFT calculation (PBE) of CdCo2Os2 after structural relaxation.

Energy relative to the lowest polymorph listed for this composition in eV per atom: 0.000
DFT formation energy in eV per atom: 0.426
Magnetic moment in μB per formula unit: 1.6

The structure in CIF format:
```
data_CdCo2Os2
_cell_length_a 7.3393
_cell_length_b 7.3393
_cell_length_c 2.6590
_cell_angle_alpha 90.00
_cell_angle_beta 90.00
_cell_angle_gamma 90.00
_space_group_name_H-M_alt 'P 1'
_space_group_IT_number 1
loop_
_space_group_symop_operation_xyz
'x,y,z'
loop_
_atom_site_label
_atom_site_fract_x
_atom_site_fract_y
_atom_site_fract_z
Cd1 0.0000 0.0000 0.0000
Cd2 0.5000 0.5000 0.0000
Co1 0.1639 0.3361 0.0000
Co2 0.3361 0.8361 0.0000
Co3 0.6639 0.1639 0.0000
Co4 0.8361 0.6639 0.0000
Os1 0.1270 0.6270 0.5000
Os2 0.3730 0.1270 0.5000
Os3 0.6270 0.8730 0.5000
Os4 0.8730 0.3730 0.5000
```